Record 1
# PbSe2Cl (PBE, optimized geometry)
# Formation energy (no corrections), eV per atom: -0.41
# Electronic total energy, eV per atom: -3.539
# Magnetic moment, μB per atom: 0.00
# Offset from the most stable computed form, meV per atom: 16
data_PbSe2Cl
_chemical_formula_sum 'Pb2 Se4 Cl2'
_symmetry_space_group_name_H-M 'I m m 2'
_symmetry_Int_Tables_number 44
_cell_length_a 4.2978
_cell_length_b 5.9149
_cell_length_c 11.3650
_cell_angle_alpha 90.00
_cell_angle_beta 90.00
_cell_angle_gamma 90.00
loop_
_symmetry_equiv_pos_as_xyz
'x,y,z'
'-x,-y,z'
'-x,y,z'
'x,-y,z'
'x+1/2,y+1/2,z+1/2'
'-x+1/2,-y+1/2,z+1/2'
'-x+1/2,y+1/2,z+1/2'
'x+1/2,-y+1/2,z+1/2'
loop_
_atom_site_label
_atom_site_type_symbol
_atom_site_fract_x
_atom_site_fract_y
_atom_site_fract_z
_atom_site_occupancy
Pb1 Pb 0.0000 0.0000 0.0000 1
Se1 Se 0.0000 0.0000 0.5676 1
Se2 Se 0.0000 0.5000 0.9566 1
Cl1 Cl 0.0000 0.5000 0.3454 1



Record 2
# AlPtO2 (PBE, optimized geometry)
# Formation energy (no corrections), eV per atom: -1.35
# Electronic total energy, eV per atom: -6.279
# Magnetic moment, μB per atom: 0.00
data_AlPtO2
_chemical_formula_sum 'Al4 Pt4 O8'
_symmetry_space_group_name_H-M 'P n a 21'
_symmetry_Int_Tables_number 33
_cell_length_a 4.8596
_cell_length_b 6.5644
_cell_length_c 6.3786
_cell_angle_alpha 90.00
_cell_angle_beta 90.00
_cell_angle_gamma 90.00
loop_
_symmetry_equiv_pos_as_xyz
'x,y,z'
'-x,-y,z+1/2'
'-x+1/2,y+1/2,z+1/2'
'x+1/2,-y+1/2,z'
loop_
_atom_site_label
_atom_site_type_symbol
_atom_site_fract_x
_atom_site_fract_y
_atom_site_fract_z
_atom_site_occupancy
Al1 Al 0.0911 0.1064 0.0000 1
Pt1 Pt 0.1201 0.6532 0.0624 1
O1 O 0.0339 0.0256 0.7284 1
O2 O 0.0519 0.6434 0.5244 1



Record 3
# Al2CrSb (PBE, optimized geometry)
# Formation energy (no corrections), eV per atom: 0.26
# Electronic total energy, eV per atom: -5.053
# Magnetic moment, μB per atom: 0.83
data_Al2CrSb
_chemical_formula_sum 'Al4 Cr2 Sb2'
_symmetry_space_group_name_H-M 'C m m m'
_symmetry_Int_Tables_number 65
_symmetry_space_group_name_Hall '-C 2 2'
_cell_length_a 5.5244
_cell_length_b 8.0375
_cell_length_c 3.3291
_cell_angle_alpha 90.00
_cell_angle_beta 90.00
_cell_angle_gamma 90.00
loop_
_atom_site_label
_atom_site_type_symbol
_atom_site_fract_x
_atom_site_fract_y
_atom_site_fract_z
_atom_site_occupancy
Al1 Al 0.2500 0.2500 0.0000 1
Cr1 Cr 0.0000 0.0000 0.5000 1
Sb1 Sb 0.0000 0.5000 0.5000 1



Record 4
# BaIn2Os (PBE, optimized geometry)
# Electronic total energy, eV per atom: -4.116
# DFT formation energy, meV per atom: 541
# Magnetic moment, μB per atom: 0.00
data_BaIn2Os
_chemical_formula_sum 'Ba4 In8 Os4'
_symmetry_space_group_name_H-M 'F m -3 m'
_symmetry_Int_Tables_number 225
_symmetry_space_group_name_Hall '-F 4 2 3'
_cell_length_a 7.3313
_cell_length_b 7.3313
_cell_length_c 7.3313
_cell_angle_alpha 90.00
_cell_angle_beta 90.00
_cell_angle_gamma 90.00
loop_
_atom_site_label
_atom_site_type_symbol
_atom_site_fract_x
_atom_site_fract_y
_atom_site_fract_z
_atom_site_occupancy
Ba1 Ba 0.0000 0.0000 0.0000 1
In1 In 0.2500 0.2500 0.2500 1
Os1 Os 0.0000 0.0000 0.5000 1



Record 5
# AcAsO4 (PBE, optimized geometry)
# Formation energy (no corrections), eV per atom: -2.37
# Electronic total energy, eV per atom: -7.136
# Magnetic moment, μB per atom: 0.00
data_AcAsO4
_chemical_formula_sum 'Ac4 As4 O16'
_symmetry_space_group_name_H-M 'I 41/a'
_symmetry_Int_Tables_number 88
_cell_length_a 5.3351
_cell_length_b 5.3351
_cell_length_c 12.3982
_cell_angle_alpha 90.00
_cell_angle_beta 90.00
_cell_angle_gamma 90.00
loop_
_symmetry_equiv_pos_as_xyz
'x,y,z'
'-x,-y,-z'
'-y+3/4,x+1/4,z+1/4'
'y+3/4,-x+1/4,-z+1/4'
'-x+1/2,-y,z+1/2'
'x+1/2,y,-z+1/2'
'y+3/4,-x+3/4,z+3/4'
'-y+3/4,x+3/4,-z+3/4'
'x+1/2,y+1/2,z+1/2'
'-x+1/2,-y+1/2,-z+1/2'
'-y+1/4,x+3/4,z+3/4'
'y+1/4,-x+3/4,-z+3/4'
'-x,-y+1/2,z'
'x,y+1/2,-z'
'y+1/4,-x+1/4,z+1/4'
'-y+1/4,x+1/4,-z+1/4'
loop_
_atom_site_label
_atom_site_type_symbol
_atom_site_fract_x
_atom_site_fract_y
_atom_site_fract_z
_atom_site_occupancy
Ac1 Ac 0.0000 0.2500 0.1250 1
As1 As 0.0000 0.2500 0.6250 1
O1 O 0.1206 0.0050 0.6998 1



Record 6
# AlCu2P (PBE, optimized geometry)
# Electronic total energy, eV per atom: -4.221
# DFT formation energy, meV per atom: 115
# Magnetic moment, μB per atom: 0.00
# Offset from the most stable computed form, meV per atom: 145
data_AlCu2P
_chemical_formula_sum 'Al1 Cu2 P1'
_symmetry_space_group_name_H-M 'P 4 m m'
_symmetry_Int_Tables_number 99
_cell_length_a 2.7291
_cell_length_b 2.7291
_cell_length_c 7.2823
_cell_angle_alpha 90.00
_cell_angle_beta 90.00
_cell_angle_gamma 90.00
loop_
_symmetry_equiv_pos_as_xyz
'x,y,z'
'-y,x,z'
'-x,-y,z'
'y,-x,z'
'-x,y,z'
'y,x,z'
'x,-y,z'
'-y,-x,z'
loop_
_atom_site_label
_atom_site_type_symbol
_atom_site_fract_x
_atom_site_fract_y
_atom_site_fract_z
_atom_site_occupancy
Al1 Al 0.0000 0.0000 0.0000 1
Cu1 Cu 0.0000 0.0000 0.4755 1
Cu2 Cu 0.5000 0.5000 0.2344 1
P1 P 0.5000 0.5000 0.7061 1